The following is a DFT calculation (GGA-PBE) of a relaxed structure of UTe2Au.

Output
ρ = 11.83 Mg/m³
N(E_F) = 1.7584 states/eV/atom
VASP energy = -22.19 eV per cell

Cell and atoms, written as CIF:
```
data_UTe2Au
_chemical_formula_sum 'U1 Te2 Au1'
_symmetry_space_group_name_H-M 'P 4/m m m'
_symmetry_Int_Tables_number 123
_symmetry_space_group_name_Hall '-P 4 2'
_cell_length_a 4.962
_cell_length_b 4.962
_cell_length_c 3.936
_cell_angle_alpha 90.00
_cell_angle_beta 90.00
_cell_angle_gamma 90.00
loop_
_atom_site_label
_atom_site_type_symbol
_atom_site_fract_x
_atom_site_fract_y
_atom_site_fract_z
U1 U 0.000 0.000 0.000
Te1 Te 0.000 0.500 0.500
Au1 Au 0.500 0.500 0.000
```